[1]
The following is a PBE calculation of a geometry-optimized Na4Sn3AuS8 structure, from Alexandria.

POSCAR file:
```
Na4Sn3AuS8
1.0
6.8444 -3.7947 0.0000
6.8444 3.7947 0.0000
-4.4087 0.0000 6.7610
Na Sn Au S
4 3 1 8
direct
0.0000 0.0000 0.0000
0.0000 0.5000 0.0000
0.5000 0.0000 0.0000
0.5000 0.5000 0.0000
0.0000 0.0000 0.5000
0.0000 0.5000 0.5000
0.5000 0.0000 0.5000
0.5000 0.5000 0.5000
0.2364 0.2364 0.2616
0.2413 0.2413 0.7285
0.2456 0.7304 0.7105
0.2696 0.7544 0.2895
0.7304 0.2456 0.7105
0.7544 0.2696 0.2895
0.7587 0.7587 0.2715
0.7636 0.7636 0.7384
```

Computed properties:
Mass density ... 4.3 g/cm³
ΔE_f (raw) ... -0.605 eV/atom
Size of the total moment ... 0.00 μB per cell

***

[2]
The following is a PBE calculation of a geometry-optimized Na2SnAuS4 structure, from Alexandria.

POSCAR file:
```
Na2SnAuS4
1.0
-3.6400 3.6400 3.3565
3.6400 -3.6400 3.3565
3.6400 3.6400 -3.3565
Na Sn Au S
2 1 1 4
direct
0.0000 0.5000 0.5000
0.5000 0.0000 0.5000
0.0000 0.0000 0.0000
0.5000 0.5000 0.0000
0.0514 0.0514 0.6393
0.4121 0.4121 0.3607
0.5879 0.9486 0.0000
0.9486 0.5879 0.0000
```

Computed properties:
Mass density ... 4.6 g/cm³
ΔE_f (raw) ... -0.465 eV/atom
Size of the total moment ... 0.00 μB per cell

***

[3]
The following is a PBE calculation of a geometry-optimized NaSrAuS2 structure, from Alexandria.

POSCAR file:
```
NaSrAuS2
1.0
7.0109 0.0000 0.0000
0.0000 4.7604 0.0000
-1.7610 0.0000 7.5679
Na Sr Au S
2 2 2 4
direct
0.0000 0.0208 0.2500
0.0000 0.9792 0.7500
0.5000 0.2921 0.7500
0.5000 0.7079 0.2500
0.0000 0.5000 0.0000
0.0000 0.5000 0.5000
0.2808 0.2213 0.0413
0.2808 0.7787 0.5413
0.7192 0.2213 0.4587
0.7192 0.7787 0.9587
```

Computed properties:
Mass density ... 4.9 g/cm³
ΔE_f (raw) ... -1.240 eV/atom
Size of the total moment ... 0.00 μB per cell

***

[4]
The following is a PBE calculation of a geometry-optimized NaTbAuS2 structure, from Alexandria.

POSCAR file:
```
NaTbAuS2
1.0
6.4375 0.0000 0.0000
0.0000 5.0936 0.0000
-0.1068 0.0000 7.5178
Na Tb Au S
2 2 2 4
direct
0.0000 0.0094 0.2500
0.0000 0.9906 0.7500
0.5000 0.4989 0.7500
0.5000 0.5011 0.2500
0.5000 0.0000 0.0000
0.5000 0.0000 0.5000
0.2260 0.3254 0.9972
0.2260 0.6746 0.4972
0.7740 0.3254 0.5028
0.7740 0.6746 0.0028
```

Computed properties:
Mass density ... 6.0 g/cm³
ΔE_f (raw) ... -1.077 eV/atom
Size of the total moment ... 0.00 μB per cell

***

[5]
The following is a PBE calculation of a geometry-optimized Na4Th3AuS8 structure, from Alexandria.

POSCAR file:
```
Na4Th3AuS8
1.0
7.1944 -3.9642 0.0000
7.1944 3.9642 0.0000
-4.6555 0.0000 6.7994
Na Th Au S
4 3 1 8
direct
0.0000 0.0000 0.0000
0.0000 0.5000 0.5000
0.5000 0.0000 0.5000
0.5000 0.5000 0.0000
0.0000 0.0000 0.5000
0.0000 0.5000 0.0000
0.5000 0.0000 0.0000
0.5000 0.5000 0.5000
0.2359 0.2359 0.2237
0.2387 0.2387 0.7417
0.2385 0.7352 0.2502
0.2648 0.7615 0.7498
0.7352 0.2385 0.2502
0.7615 0.2648 0.7498
0.7613 0.7613 0.2583
0.7641 0.7641 0.7763
```

Computed properties:
Mass density ... 5.3 g/cm³
ΔE_f (raw) ... -1.427 eV/atom
Size of the total moment ... 0.01 μB per cell

***

[6]
The following is a PBE calculation of a geometry-optimized NaTmAuS2 structure, from Alexandria.

POSCAR file:
```
NaTmAuS2
1.0
6.4730 0.0000 0.0000
0.0000 5.0010 0.0000
-0.5774 0.0000 7.3444
Na Tm Au S
2 2 2 4
direct
0.0000 0.0576 0.2500
0.0000 0.9424 0.7500
0.5000 0.4956 0.7500
0.5000 0.5044 0.2500
0.5000 0.0000 0.0000
0.5000 0.0000 0.5000
0.2272 0.3376 0.9833
0.2272 0.6624 0.4833
0.7728 0.3376 0.5167
0.7728 0.6624 0.0167
```

Computed properties:
Mass density ... 6.3 g/cm³
ΔE_f (raw) ... -1.070 eV/atom
Size of the total moment ... 0.00 μB per cell

***

[7]
The following is a PBE calculation of a geometry-optimized Na4U3AuS8 structure, from Alexandria.

POSCAR file:
```
Na4U3AuS8
1.0
6.8513 -3.9227 0.0000
6.8513 3.9227 0.0000
-4.5541 0.0000 6.7512
Na U Au S
4 3 1 8
direct
0.0000 0.0000 0.0000
0.0000 0.5000 0.0000
0.5000 0.0000 0.0000
0.5000 0.5000 0.0000
0.0000 0.0000 0.5000
0.0000 0.5000 0.5000
0.5000 0.0000 0.5000
0.5000 0.5000 0.5000
0.2341 0.7460 0.7280
0.2428 0.2428 0.7306
0.2484 0.2484 0.2677
0.2540 0.7659 0.2720
0.7460 0.2341 0.7280
0.7516 0.7516 0.7323
0.7572 0.7572 0.2694
0.7659 0.2540 0.2720
```

Computed properties:
Mass density ... 5.8 g/cm³
ΔE_f (raw) ... -1.178 eV/atom
Size of the total moment ... 7.00 μB per cell

***

[8]
The following is a PBE calculation of a geometry-optimized Na2UAu2S4 structure, from Alexandria.

POSCAR file:
```
Na2UAu2S4
1.0
7.6017 -1.9328 0.0000
7.6017 1.9328 0.0000
-2.9981 0.0000 6.7649
Na U Au S
2 1 2 4
direct
0.1234 0.1234 0.0743
0.8766 0.8766 0.9257
0.0000 0.0000 0.5000
0.2990 0.2990 0.4445
0.7010 0.7010 0.5555
0.1830 0.1830 0.7536
0.4794 0.4794 0.7380
0.5206 0.5206 0.2620
0.8170 0.8170 0.2464
```

Computed properties:
Mass density ... 6.7 g/cm³
ΔE_f (raw) ... -0.823 eV/atom
Size of the total moment ... 1.55 μB per cell